Density functional theory data (PBE) for CeMg9Hg2 after structural relaxation.

Properties
Space group: I4_1/amd
Formation enthalpy at 0 K, eV/atom: -0.109
Magnetic moment, μB per cell: 2.7

a = 9.364 Å, b = 9.364 Å, c = 9.364 Å
α = 99.76°, β = 99.76°, γ = 131.38°
Sites, in units of the cell vectors:
Ce1 0.375 0.625 0.750
Ce2 0.625 0.375 0.250
Mg1 0.125 0.875 0.250
Mg2 0.129 0.557 0.329
Mg3 0.129 0.801 0.572
Mg4 0.199 0.272 0.329
Mg5 0.199 0.871 0.928
Mg6 0.272 0.199 0.829
Mg7 0.272 0.443 0.072
Mg8 0.443 0.272 0.572
Mg9 0.443 0.871 0.171
Mg10 0.557 0.129 0.829
Mg11 0.557 0.728 0.428
Mg12 0.728 0.557 0.928
Mg13 0.728 0.801 0.171
Mg14 0.801 0.129 0.072
Mg15 0.801 0.728 0.671
Mg16 0.871 0.199 0.428
Mg17 0.871 0.443 0.671
Mg18 0.875 0.125 0.750
Hg1 0.000 0.000 0.000
Hg2 0.000 0.000 0.500
Hg3 0.000 0.500 0.000
Hg4 0.500 0.000 0.500


Density functional theory data (PBE) for Cs2RhI2F4 after structural relaxation.

Properties
Raw formation energy, eV/atom: -1.687
Space group: I4/mmm
Magnetic moment, μB per cell: 1.0

a = 6.966 Å, b = 6.966 Å, c = 6.966 Å
α = 113.75°, β = 113.75°, γ = 101.21°
Sites, in units of the cell vectors:
Cs1 0.250 0.750 0.500
Cs2 0.750 0.250 0.500
Rh1 0.000 0.000 0.000
I1 0.306 0.306 0.000
I2 0.694 0.694 0.000
F1 0.183 0.183 0.366
F2 0.183 0.817 0.000
F3 0.817 0.183 0.000
F4 0.817 0.817 0.634


Density functional theory data (PBE) for PaTcPt after structural relaxation.

Properties
Space group: P-6m2
Formation enthalpy at 0 K, eV/atom: -0.300
Magnetic moment, μB per cell: 0.0

a = 4.385 Å, b = 4.385 Å, c = 3.681 Å
α = 90.00°, β = 90.00°, γ = 120.00°
Sites, in units of the cell vectors:
Pa1 0.000 0.000 0.000
Tc1 0.667 0.333 0.500
Pt1 0.333 0.667 0.500


Density functional theory data (PBE) for HfTlIn2Cl6 after structural relaxation.

Properties
Raw formation energy, eV/atom: -1.207
Space group: C2/m
Magnetic moment, μB per cell: 0.9

a = 7.572 Å, b = 7.572 Å, c = 6.925 Å
α = 99.88°, β = 99.88°, γ = 55.74°
Sites, in units of the cell vectors:
Hf1 0.000 0.000 0.000
Tl1 0.500 0.500 0.500
In1 0.303 0.303 0.756
In2 0.697 0.697 0.244
Cl1 0.120 0.120 0.317
Cl2 0.138 0.651 0.122
Cl3 0.349 0.862 0.878
Cl4 0.651 0.138 0.122
Cl5 0.862 0.349 0.878
Cl6 0.880 0.880 0.683


Density functional theory data (PBE) for Cs2Rb7HgO2 after structural relaxation.

Properties
Raw formation energy, eV/atom: -0.447
Space group: R32
Magnetic moment, μB per cell: 0.0

a = 12.504 Å, b = 12.504 Å, c = 12.504 Å
α = 45.54°, β = 45.54°, γ = 45.54°
Sites, in units of the cell vectors:
Cs1 0.201 0.201 0.201
Cs2 0.799 0.799 0.799
Rb1 0.251 0.253 0.683
Rb2 0.253 0.683 0.251
Rb3 0.317 0.747 0.749
Rb4 0.500 0.500 0.500
Rb5 0.683 0.251 0.253
Rb6 0.747 0.749 0.317
Rb7 0.749 0.317 0.747
Hg1 0.000 0.000 0.000
O1 0.419 0.419 0.419
O2 0.581 0.581 0.581


Density functional theory data (PBE) for Tb4AsSeS2 after structural relaxation.

Properties
Raw formation energy, eV/atom: -1.858
Space group: P2/m
Magnetic moment, μB per cell: 0.0

a = 6.966 Å, b = 4.016 Å, c = 6.985 Å
α = 90.00°, β = 109.27°, γ = 90.00°
Sites, in units of the cell vectors:
Tb1 0.234 0.000 0.236
Tb2 0.240 0.500 0.755
Tb3 0.760 0.500 0.245
Tb4 0.766 0.000 0.764
As1 0.500 0.000 0.000
Se1 0.500 0.500 0.500
S1 0.000 0.000 0.500
S2 0.000 0.500 0.000